[1]
La2AgHIr | PBE | optimized geometry

a = 5.060 Å, b = 5.060 Å, c = 3.989 Å
α = 90.00°, β = 90.00°, γ = 90.00°
Fractional coordinates of all 5 atoms:
La 0.000 0.500 0.000
La 0.500 0.000 0.000
Ag 0.000 0.000 0.500
H 0.000 0.000 0.000
Ir 0.500 0.500 0.500

**Excess energy over the best structure of this formula in the dataset**: 71 meV/atom
**Space group**: P4/mmm

---

[2]
Li2AgH6Ir | PBE | optimized geometry

a = 4.750 Å, b = 4.750 Å, c = 5.427 Å
α = 90.00°, β = 90.00°, γ = 120.00°
Fractional coordinates of all 10 atoms:
Li 0.333 0.667 0.397
Li 0.667 0.333 0.603
Ag 0.000 0.000 0.000
H 0.167 0.335 0.678
H 0.167 0.833 0.678
H 0.335 0.167 0.322
H 0.665 0.833 0.678
H 0.833 0.167 0.322
H 0.833 0.665 0.322
Ir 0.000 0.000 0.500

**Space group**: P-3m1
**Raw total energy**: -3.8521 eV per atom